(1)
First-principles (PBE) data for an optimized crystal structure of CoTe2BrN, as listed in Alexandria.

* energy relative to the elements, uncorrected: 1.735 eV per atom
* offset from the most stable computed form: 1354 meV per atom

abc: 5.726 5.726 3.661
angles: 90.00 90.00 90.00
Space group P4/mmm (No. 123)
Inequivalent atoms, fractional coordinates:
Co 0.000 0.000 0.000 (multiplicity 1)
Te 0.000 0.500 0.500 (multiplicity 2)
Br 0.500 0.500 0.500 (multiplicity 1)
N 0.500 0.500 0.000 (multiplicity 1)

---

(2)
First-principles (PBE) data for an optimized crystal structure of La3Pm3Sm5, as listed in Alexandria.

* offset from the most stable computed form: 0 meV per atom
* ΔH_f (0 K): 3.4 eV per formula unit

abc: 11.4351 11.4351 3.4860
angles: 90.00 90.00 120.00
Space group P-62m (No. 189)
Inequivalent atoms, fractional coordinates:
La 0.0000 0.3981 0.0000 (multiplicity 3)
Pm 0.0000 0.1599 0.5000 (multiplicity 3)
Sm 0.0000 0.6611 0.5000 (multiplicity 3)
Sm 0.3333 0.6667 0.5000 (multiplicity 2)

---

(3)
First-principles (PBE) data for an optimized crystal structure of BeTcP2Au, as listed in Alexandria.

* ΔH_f (0 K): 8.9 eV per formula unit

abc: 4.651 4.651 5.256
angles: 90.00 90.00 90.00
Space group P4/mmm (No. 123)
Inequivalent atoms, fractional coordinates:
Be 0.000 0.000 0.000 (multiplicity 1)
Tc 0.500 0.500 0.000 (multiplicity 1)
P 0.000 0.500 0.500 (multiplicity 2)
Au 0.500 0.500 0.500 (multiplicity 1)

---

(4)
First-principles (PBE) data for an optimized crystal structure of LiReAs2, as listed in Alexandria.

* offset from the most stable computed form: 475 meV per atom
* ΔH_f (0 K): 1.1 eV per formula unit

abc: 3.249 3.917 4.842
angles: 90.00 90.00 90.00
Space group Pmmm (No. 47)
Inequivalent atoms, fractional coordinates:
Li 0.000 0.000 0.000 (multiplicity 1)
Re 0.500 0.000 0.500 (multiplicity 1)
As 0.000 0.500 0.500 (multiplicity 1)
As 0.500 0.500 0.000 (multiplicity 1)

---

(5)
First-principles (PBE) data for an optimized crystal structure of La2Cd2Ag, as listed in Alexandria.

* offset from the most stable computed form: 523 meV per atom
* ΔH_f (0 K): 1.2 eV per formula unit

abc: 4.580 4.580 14.718
angles: 90.00 90.00 90.00
Space group I4/mmm (No. 139)
Inequivalent atoms, fractional coordinates:
La 0.000 0.500 0.250 (multiplicity 4)
Cd 0.000 0.000 0.090 (multiplicity 4)
Ag 0.000 0.000 0.500 (multiplicity 2)

---

(6)
First-principles (PBE) data for an optimized crystal structure of KLi4S2, as listed in Alexandria.

* energy relative to the elements, uncorrected: -0.953 eV per atom

abc: 8.195 8.195 3.865
angles: 90.00 90.00 90.00
Space group P4_2/mnm (No. 136)
Inequivalent atoms, fractional coordinates:
K 0.000 0.000 0.000 (multiplicity 2)
Li 0.093 0.333 0.500 (multiplicity 8)
S 0.223 0.777 0.500 (multiplicity 4)

---

(7)
First-principles (PBE) data for an optimized crystal structure of Na3Li2Hg9, as listed in Alexandria.

* ΔH_f (0 K): -3.1 eV per formula unit

abc: 4.131 12.207 13.864
angles: 90.00 90.00 90.00
Space group Immm (No. 71)
Inequivalent atoms, fractional coordinates:
Na 0.000 0.000 0.000 (multiplicity 2)
Na 0.000 0.000 0.293 (multiplicity 4)
Li 0.000 0.185 0.500 (multiplicity 4)
Hg 0.000 0.307 0.147 (multiplicity 8)
Hg 0.000 0.374 0.364 (multiplicity 8)
Hg 0.000 0.500 0.000 (multiplicity 2)

---

(8)
First-principles (PBE) data for an optimized crystal structure of LiY2Ti, as listed in Alexandria.

* offset from the most stable computed form: 550 meV per atom
* ΔH_f (0 K): 2.8 eV per formula unit

abc: 4.454 4.454 21.414
angles: 90.00 90.00 90.00
Space group I-42d (No. 122)
Inequivalent atoms, fractional coordinates:
Li 0.000 0.000 0.000 (multiplicity 4)
Y 0.250 0.250 0.125 (multiplicity 8)
Ti 0.000 0.000 0.500 (multiplicity 4)

---

Computed size of the total moment, in the same sequence as the records: 2.345; 0.001; 2.924; 0.000; 0.000; 0.632; 0.000; 9.423 μB per cell.
Computed D(E_F), in the same sequence as the records: 5.716; 20.917; 3.042; 1.624; 4.174; 1.418; 4.675; 5.259 states/eV/f.u..